Record 1
This record from Alexandria via LeMat-Bulk describes crystalline BC at its relaxed geometry. The functional is GGA-PBE.

a = 2.679 Å, b = 4.656 Å, c = 6.517 Å
α = 92.49°, β = 90.00°, γ = 90.00°
Atoms (fractional coordinates):
1 C 0.000 0.330 0.351
2 C 0.000 0.329 0.584
3 C 0.000 0.691 0.916
4 C 0.500 0.171 0.657
5 C 0.000 0.997 0.991
6 C 0.500 0.851 0.591
7 B 0.500 0.425 0.242
8 B 0.500 0.808 0.351
9 B 0.000 0.025 0.232
10 B 0.000 0.668 0.663
11 B 0.500 0.157 0.939
12 B 0.500 0.547 0.983

Computed properties:
Symmetry: No. 6
ΔH_f (0 K) (meV per atom): 412
Energy (eV per cell): -90.46

***

Record 2
This record from Alexandria via LeMat-Bulk describes crystalline B3C at its relaxed geometry. The functional is GGA-PBE.

a = 6.930 Å, b = 6.930 Å, c = 5.043 Å
α = 80.56°, β = 80.56°, γ = 21.59°
Atoms (fractional coordinates):
1 B 0.967 0.967 0.101
2 B 0.112 0.112 0.565
3 B 0.659 0.659 0.102
4 B 0.349 0.349 0.336
5 B 0.974 0.974 0.493
6 B 0.669 0.669 0.703
7 B 0.076 0.076 0.245
8 B 0.773 0.773 0.896
9 B 0.748 0.748 0.346
10 C 0.410 0.410 0.574
11 C 0.416 0.416 0.044
12 C 0.347 0.347 0.844

Computed properties:
Symmetry: No. 8
ΔH_f (0 K) (meV per atom): 419
Energy (eV per cell): -82.74

***

Record 3
This record from Alexandria via LeMat-Bulk describes crystalline BC at its relaxed geometry. The functional is GGA-PBE.

a = 4.704 Å, b = 4.704 Å, c = 7.855 Å
α = 112.37°, β = 112.37°, γ = 32.19°
Atoms (fractional coordinates):
1 C 0.667 0.667 0.818
2 C 0.840 0.840 0.538
3 C 0.007 0.007 0.010
4 C 0.145 0.145 0.202
5 C 0.161 0.161 0.705
6 C 0.008 0.008 0.523
7 B 0.830 0.830 0.018
8 B 0.474 0.474 0.396
9 B 0.325 0.325 0.186
10 B 0.702 0.702 0.318
11 B 0.292 0.292 0.615
12 B 0.549 0.549 0.920

Computed properties:
Symmetry: No. 8
ΔH_f (0 K) (meV per atom): 391
Energy (eV per cell): -90.71